(1)
PaBe2TeO8 after structural relaxation. Source: Alexandria, functional PBE.

Cell lengths 5.0987, 5.0987, 6.3963 Å; angles 90.00, 90.00, 120.00 degrees
Space group P-3m1 (No. 164)
Symmetry-distinct sites (fractional):
1 Pa 0.0000 0.0000 0.0000 [1 per cell]
2 Be 0.3333 0.6667 0.2288 [2 per cell]
3 Te 0.0000 0.0000 0.5000 [1 per cell]
4 O 0.1598 0.3196 0.2944 [6 per cell]
5 O 0.3333 0.6667 0.9805 [2 per cell]

Results
The calculation puts the uncorrected formation energy at -1.862 eV/atom. As for the total moment: 1.01 μB per formula unit.

=====

(2)
PaTi2BeO8 after structural relaxation. Source: Alexandria, functional PBE.

Cell lengths 6.490, 6.951, 6.048 Å; angles 90.00, 90.00, 90.00 degrees
Space group Cmmm (No. 65)
Symmetry-distinct sites (fractional):
1 Pa 0.000 0.000 0.000 [2 per cell]
2 Ti 0.000 0.500 0.268 [4 per cell]
3 Be 0.000 0.000 0.500 [2 per cell]
4 O 0.000 0.314 0.500 [4 per cell]
5 O 0.000 0.319 0.000 [4 per cell]
6 O 0.194 0.000 0.285 [8 per cell]

Results
The calculation puts the uncorrected formation energy at -2.754 eV/atom. As for the total moment: 0.01 μB per formula unit.